A relaxed structure of SrSiTe2, computed with GGA-PBE.

Structure (CIF):
```
data_SrSiTe2
_chemical_formula_sum 'Sr1 Si1 Te2'
_space_group_name_H-M_alt 'P 1'
_space_group_IT_number 1
_cell_length_a 4.399
_cell_length_b 4.790
_cell_length_c 8.036
_cell_angle_alpha 55.29
_cell_angle_beta 90.00
_cell_angle_gamma 90.00
loop_
_space_group_symop_operation_xyz
'x,y,z'
loop_
_atom_site_label
_atom_site_fract_x
_atom_site_fract_y
_atom_site_fract_z
Si1 0.000 0.512 0.421
Sr1 0.500 0.630 0.872
Te1 0.000 0.166 0.830
Te2 0.500 0.191 0.378
```

Properties
Crystal system: monoclinic
ΔE_f (raw), eV/atom: -0.683
Total magnetic moment, μB/cell: 0.00
Final energy, eV/atom: -4.03